VASP calculation (GGA-PBE) on a geometry-optimized TbSmInHg structure.

a = 5.3674 Å, b = 5.3674 Å, c = 5.3674 Å
α = 60.00°, β = 60.00°, γ = 60.00°
Element x y z (fractional)
Tb1 0.0000 0.0000 0.0000
Sm1 0.5000 0.5000 0.5000
In1 0.7500 0.7500 0.7500
Hg1 0.2500 0.2500 0.2500

The value obtained for the formation energy is -470 meV per atom.

VASP calculation (GGA-PBE) on a geometry-optimized Tb2SmIn2Hg2 structure.

a = 9.3957 Å, b = 9.3957 Å, c = 9.3957 Å
α = 30.57°, β = 30.57°, γ = 30.57°
Element x y z (fractional)
Tb1 0.1316 0.1316 0.1316
Tb2 0.8684 0.8684 0.8684
Sm1 0.0000 0.0000 0.0000
In1 0.2679 0.2679 0.2679
In2 0.7321 0.7321 0.7321
Hg1 0.4270 0.4270 0.4270
Hg2 0.5730 0.5730 0.5730

The value obtained for the formation energy is -290 meV per atom.

VASP calculation (GGA-PBE) on a geometry-optimized Sm4InHgTe2 structure.

a = 7.3733 Å, b = 4.2609 Å, c = 8.2759 Å
α = 90.00°, β = 107.35°, γ = 90.00°
Element x y z (fractional)
Sm1 0.2485 0.0000 0.2463
Sm2 0.2496 0.5000 0.7529
Sm3 0.7504 0.5000 0.2471
Sm4 0.7515 0.0000 0.7537
In1 0.5000 0.5000 0.5000
Hg1 0.0000 0.0000 0.5000
Te1 0.0000 0.5000 0.0000
Te2 0.5000 0.0000 0.0000

The formation energy without anion corrections comes out at -0.896 eV/atom.

VASP calculation (GGA-PBE) on a geometry-optimized SmIn2HgTe4 structure.

a = 7.8868 Å, b = 4.3943 Å, c = 8.0085 Å
α = 90.00°, β = 110.23°, γ = 90.00°
Element x y z (fractional)
Sm1 0.0000 0.0000 0.0000
In1 0.5000 0.0000 0.5000
In2 0.5000 0.5000 0.0000
Hg1 0.0000 0.5000 0.5000
Te1 0.2487 0.5000 0.2344
Te2 0.2532 0.0000 0.7614
Te3 0.7468 0.0000 0.2386
Te4 0.7513 0.5000 0.7656

The formation energy without anion corrections comes out at -0.540 eV/atom.

VASP calculation (GGA-PBE) on a geometry-optimized Sm2ThIn2Hg2 structure.

a = 9.4994 Å, b = 9.4994 Å, c = 9.4994 Å
α = 30.41°, β = 30.41°, γ = 30.41°
Element x y z (fractional)
Sm1 0.1306 0.1306 0.1306
Sm2 0.8694 0.8694 0.8694
Th1 0.0000 0.0000 0.0000
In1 0.2702 0.2702 0.2702
In2 0.7298 0.7298 0.7298
Hg1 0.4223 0.4223 0.4223
Hg2 0.5777 0.5777 0.5777

The value obtained for the formation energy is -214 meV per atom.

VASP calculation (GGA-PBE) on a geometry-optimized SmTiInHg structure.

a = 5.1300 Å, b = 5.1300 Å, c = 5.1300 Å
α = 60.00°, β = 60.00°, γ = 60.00°
Element x y z (fractional)
Sm1 0.0000 0.0000 0.0000
Ti1 0.5000 0.5000 0.5000
In1 0.7500 0.7500 0.7500
Hg1 0.2500 0.2500 0.2500

The value obtained for the formation energy is -168 meV per atom.

VASP calculation (GGA-PBE) on a geometry-optimized Sm4TlIn2Hg structure.

a = 9.3996 Å, b = 9.3996 Å, c = 9.3996 Å
α = 33.54°, β = 33.54°, γ = 33.54°
Element x y z (fractional)
Sm1 0.1234 0.1234 0.1234
Sm2 0.3734 0.3734 0.3734
Sm3 0.6266 0.6266 0.6266
Sm4 0.8766 0.8766 0.8766
Tl1 0.5000 0.5000 0.5000
In1 0.2503 0.2503 0.2503
In2 0.7497 0.7497 0.7497
Hg1 0.0000 0.0000 0.0000

The value obtained for the formation energy is -454 meV per atom.

VASP calculation (GGA-PBE) on a geometry-optimized SmTlInHg structure.

a = 4.6697 Å, b = 4.6880 Å, c = 4.7446 Å
α = 90.00°, β = 90.00°, γ = 90.00°
Element x y z (fractional)
Sm1 0.0000 0.0000 0.0000
Tl1 0.5000 0.5000 0.0000
In1 0.5000 0.0000 0.5000
Hg1 0.0000 0.5000 0.5000

The value obtained for the formation energy is -355 meV per atom. Its energy above the most stable polymorph in this dataset is 0.000 eV per atom.

| no. | total magnetization (μB per formula unit) |
| --- | --- |
| 1 | 0.46 |
| 2 | 0.00 |
| 3 | 0.00 |
| 4 | 0.00 |
| 5 | 0.00 |
| 6 | 1.95 |
| 7 | 0.00 |
| 8 | 0.00 |